Density functional theory data (PBE) for a relaxed structure of Pa2Ge4Pd3Au.

Cell lengths 4.3552, 4.3552, 9.9896 Å; angles 90.00, 90.00, 90.00 degrees
Positions (direct):
Pa 0.0000 0.5000 0.2458
Pa 0.5000 0.0000 0.7542
Ge 0.0000 0.0000 0.0000
Ge 0.0000 0.5000 0.6389
Ge 0.5000 0.0000 0.3611
Ge 0.5000 0.5000 0.0000
Pd 0.0000 0.5000 0.8792
Pd 0.5000 0.0000 0.1208
Pd 0.5000 0.5000 0.5000
Au 0.0000 0.0000 0.5000

## Properties
**Formation energy**: -0.5129 eV per atom